The following is a PBE calculation of an optimized crystal structure of Li8CdPb2, from OQMD via LeMat-Bulk.

```
Li8CdPb2
1.0
-1.4320 3.6037 2.5530
-2.8225 -0.6960 3.6200
9.6682 -2.0912 4.1723
Pb Li Cd
2 8 1
Direct
0.5503 0.5503 0.6517 Pb
0.4497 0.4497 0.3483 Pb
0.3598 0.3598 0.0794 Li
0.9108 0.9108 0.7331 Li
0.1777 0.1777 0.5335 Li
0.8223 0.8223 0.4665 Li
0.6402 0.6402 0.9206 Li
0.0892 0.0892 0.2669 Li
0.7328 0.7328 0.1972 Li
0.2672 0.2672 0.8028 Li
0.0000 0.0000 0.0000 Cd
```

The volume is 17.6 A^3/atom. As for the total energy: -0.17667 Ry per atom. As for the space group: No. 12.